The following is a DFT calculation (PBE) of a geometry-optimized La2PrDy3Ho6 structure. Values from VASP.

Geometry as Quantum ESPRESSO input:
```
&SYSTEM
  ibrav = 0, nat = 12, ntyp = 4
/
ATOMIC_SPECIES
Dy 162.50 Dy.upf
La 138.91 La.upf
Ho 164.93 Ho.upf
Pr 140.91 Pr.upf
ATOMIC_POSITIONS angstrom
Dy -2.071 3.590 5.821
Dy 4.145 0.001 5.821
Dy 1.037 1.795 5.821
La 3.108 1.793 0.000
La 0.000 3.588 0.000
Ho 2.072 0.004 2.972
Ho -1.032 1.797 2.972
Ho 2.076 3.595 2.971
Ho 3.106 1.794 8.670
Ho 0.002 3.587 8.670
Ho -0.002 -0.004 8.671
Pr 0.000 0.000 0.000
CELL_PARAMETERS angstrom
6.214 -0.001 0.000
-3.106 5.382 0.000
-1.034 -1.791 11.642
```

Output
- M_tot (μB per cell) = 0.00
- E (eV per cell) = -55.64


The following is a DFT calculation (PBE) of a geometry-optimized La2Pr5DyHo structure. Values from VASP.

Geometry as Quantum ESPRESSO input:
```
&SYSTEM
  ibrav = 0, nat = 18, ntyp = 4
/
ATOMIC_SPECIES
La 138.91 La.upf
Pr 140.91 Pr.upf
Ho 164.93 Ho.upf
Dy 162.50 Dy.upf
ATOMIC_POSITIONS angstrom
La -0.330 -3.060 4.562
La 2.586 -6.691 5.956
La 2.327 -2.473 0.534
La 5.242 -6.104 1.928
Pr 5.932 -3.068 2.116
Pr 2.074 6.290 1.524
Pr 2.456 -4.582 3.245
Pr 1.513 4.066 5.232
Pr 1.878 -2.855 6.756
Pr 5.371 -5.292 5.823
Pr 5.567 3.853 0.591
Pr 5.006 1.629 4.299
Pr 2.439 -0.631 3.049
Pr 0.000 0.000 0.000
Ho 5.884 0.141 1.532
Ho 1.561 0.857 5.816
Dy 4.951 -1.792 5.296
Dy 2.494 2.790 2.051
CELL_PARAMETERS angstrom
-1.867 -3.866 7.528
6.780 -5.298 -1.039
2.532 10.162 0.858
```

Output
- M_tot (μB per cell) = 0.00
- E (eV per cell) = -81.47


The following is a DFT calculation (PBE) of a geometry-optimized La3Dy6Ho2Pu structure. Values from VASP.

Geometry as Quantum ESPRESSO input:
```
&SYSTEM
  ibrav = 0, nat = 12, ntyp = 4
/
ATOMIC_SPECIES
Ho 164.93 Ho.upf
Dy 162.50 Dy.upf
La 138.91 La.upf
Pu 244.00 Pu.upf
ATOMIC_POSITIONS angstrom
Ho 0.000 3.578 -0.006
Ho 3.099 1.788 -0.006
Dy 0.033 3.590 8.791
Dy -0.006 -0.011 8.792
Dy 2.041 0.001 2.808
Dy -1.019 1.769 2.808
Dy 3.093 1.822 8.791
Dy 2.080 3.602 2.806
La 1.037 1.796 5.799
La -2.057 3.583 5.799
La 4.131 0.008 5.799
Pu 0.000 0.000 0.000
CELL_PARAMETERS angstrom
6.201 -0.003 -0.006
-3.102 5.370 -0.006
-1.025 -1.775 11.611
```

Output
- M_tot (μB per cell) = 6.70
- E (eV per cell) = -65.32


The following is a DFT calculation (PBE) of a geometry-optimized LaDyHoPu structure. Values from VASP.

Geometry as Quantum ESPRESSO input:
```
&SYSTEM
  ibrav = 0, nat = 4, ntyp = 4
/
ATOMIC_SPECIES
La 138.91 La.upf
Dy 162.50 Dy.upf
Pu 244.00 Pu.upf
Ho 164.93 Ho.upf
ATOMIC_POSITIONS angstrom
La -3.166 1.329 -0.395
Dy -9.497 3.986 -1.186
Pu 0.000 0.000 0.000
Ho -6.331 2.658 -0.791
CELL_PARAMETERS angstrom
-3.011 4.771 -0.133
-4.397 0.465 -3.507
-5.254 0.079 2.058
```

Output
- M_tot (μB per cell) = 7.53
- E (eV per cell) = -27.62